one | First-principles (PBE) data for a relaxed structure of NaNbFePb, as listed in OQMD.

Cell: 6.639 6.639 6.639 Å, 90.00 90.00 90.00°
Space group F-43m (No. 216)
Inequivalent atoms, fractional coordinates:
Na (0.000, 0.000, 0.000) [4 per cell]
Nb (0.000, 0.000, 0.500) [4 per cell]
Fe (0.250, 0.250, 0.250) [4 per cell]
Pb (0.250, 0.250, 0.750) [4 per cell]

Magnetization (μB per atom): 0.3304



two | First-principles (PBE) data for a relaxed structure of NaNbFePb, as listed in OQMD.

Cell: 6.472 6.472 6.472 Å, 90.00 90.00 90.00°
Space group F-43m (No. 216)
Inequivalent atoms, fractional coordinates:
Na (0.000, 0.000, 0.000) [4 per cell]
Nb (0.250, 0.250, 0.250) [4 per cell]
Fe (0.000, 0.000, 0.500) [4 per cell]
Pb (0.250, 0.250, 0.750) [4 per cell]

Magnetization (μB per atom): 0.0000



Tell me which of them is the most stable. Sure, it is two.



one | First-principles (PBE) data for a relaxed structure of NaNbFeS3, as listed in OQMD.

Cell: 3.411 13.584 9.342 Å, 90.00 90.00 90.00°
Space group Cmcm (No. 63)
Inequivalent atoms, fractional coordinates:
Na (0.000, 0.248, 0.250) [4 per cell]
Nb (0.000, 0.000, 0.000) [4 per cell]
Fe (0.000, 0.470, 0.750) [4 per cell]
S (0.000, 0.081, 0.750) [4 per cell]
S (0.000, 0.370, 0.561) [8 per cell]

Magnetization (μB per atom): 0.3585



two | First-principles (PBE) data for a relaxed structure of NaNbFeS3, as listed in OQMD.

Cell: 7.501 3.439 9.225 Å, 90.00 111.13 90.00°
Space group P2_1/m (No. 11)
Inequivalent atoms, fractional coordinates:
Na (0.234, 0.250, 0.218) [2 per cell]
Nb (0.202, 0.750, 0.677) [2 per cell]
Fe (0.417, 0.250, 0.896) [2 per cell]
S (0.064, 0.750, 0.374) [2 per cell]
S (0.252, 0.750, 0.959) [2 per cell]
S (0.427, 0.250, 0.654) [2 per cell]

Magnetization (μB per atom): 0.3330



Tell me which of them is the most stable. Sure, it is two.



one | First-principles (PBE) data for a relaxed structure of NaFeOs, as listed in OQMD.

Cell: 6.002 6.002 6.002 Å, 90.00 90.00 90.00°
Space group F-43m (No. 216)
Inequivalent atoms, fractional coordinates:
Na (0.000, 0.000, 0.000) [4 per cell]
Fe (0.250, 0.250, 0.750) [4 per cell]
Os (0.250, 0.250, 0.250) [4 per cell]

Magnetization (μB per atom): 1.6986



two | First-principles (PBE) data for a relaxed structure of NaFeOs, as listed in OQMD.

Cell: 5.720 5.720 5.720 Å, 90.00 90.00 90.00°
Space group F-43m (No. 216)
Inequivalent atoms, fractional coordinates:
Na (0.000, 0.000, 0.000) [4 per cell]
Fe (0.250, 0.250, 0.250) [4 per cell]
Os (0.000, 0.000, 0.500) [4 per cell]

Magnetization (μB per atom): 0.0697



Tell me which of them is the most stable. Sure, it is two.